Ca3SiP4: optimized geometry, PBE-GGA.

Computed properties:
Its total energy is -4.981 eV per atom. The value obtained for the magnetization is 0.00 μB/cell. The value obtained for the energy relative to the elements, uncorrected is -0.848 eV per atom.

a = 7.7922 Å, b = 9.8193 Å, c = 9.1729 Å
α = 90.00°, β = 90.00°, γ = 90.00°
Closest atoms and distances in Å follow each position.
Space group Pnma (No. 62)
Symmetry-distinct sites (fractional):
Ca 0.0488 0.0501 0.1896 x8  5 P 2.82-3.05
Ca 0.1640 0.7500 0.4158 x4  7 P 2.84-3.10
Si 0.2327 0.2500 0.4546 x4  4 P 2.19-2.32
P 0.0395 0.7500 0.1036 x4  1 Si 2.24
P 0.1278 0.0431 0.5384 x8  1 P 2.28, 1 Si 2.32
P 0.1941 0.7500 0.7244 x4  1 Si 2.19